# 1
# NiHgAu2 | the Alexandria database | PBE | optimized geometry
data_NiHgAu2
_chemical_formula_sum 'Ni2 Hg2 Au4'
_symmetry_space_group_name_H-M 'P 1'
_symmetry_Int_Tables_number 1
_symmetry_space_group_name_Hall 'P 1'
_cell_length_a 10.2243
_cell_length_b 10.2243
_cell_length_c 10.2243
_cell_angle_alpha 158.05
_cell_angle_beta 158.05
_cell_angle_gamma 31.24
loop_
_atom_site_label
_atom_site_fract_x
_atom_site_fract_y
_atom_site_fract_z
Ni1 0.0000 0.0000 0.0000
Ni2 0.7500 0.2500 0.5000
Hg1 0.2500 0.7500 0.5000
Hg2 0.5000 0.5000 0.0000
Au1 0.1171 0.6250 0.9921
Au2 0.3750 0.3671 0.4921
Au3 0.6329 0.1250 0.0079
Au4 0.8750 0.8829 0.5079
# - Space-group type: I-42d
# - N(E_F): 0.8391 states/eV/atom
# - E_form: 0.270 eV per atom

# 2
# NiHg4Au | the Alexandria database | PBE | optimized geometry
data_NiHg4Au
_chemical_formula_sum 'Ni1 Hg4 Au1'
_symmetry_space_group_name_H-M 'P 1'
_symmetry_Int_Tables_number 1
_symmetry_space_group_name_Hall 'P 1'
_cell_length_a 5.7161
_cell_length_b 5.7161
_cell_length_c 5.7161
_cell_angle_alpha 60.00
_cell_angle_beta 60.00
_cell_angle_gamma 60.00
loop_
_atom_site_label
_atom_site_fract_x
_atom_site_fract_y
_atom_site_fract_z
Ni1 0.0000 0.0000 0.0000
Hg1 0.3748 0.3748 0.3748
Hg2 0.3748 0.3748 0.8756
Hg3 0.3748 0.8756 0.3748
Hg4 0.8756 0.3748 0.3748
Au1 0.7500 0.7500 0.7500
# - Space-group type: F-43m
# - N(E_F): 0.3373 states/eV/atom
# - E_form: 0.594 eV per atom

The lowest N(E_F) belongs to which entry?
NiHg4Au

What is the N(E_F) in the second record?
0.3373 states/eV/atom

Which value of E_form does entry 2 give?
0.594 eV per atom

Which of these has the lowest N(E_F)?
NiHg4Au